Material: YAlTe2
Method: DFT, PBE-GGA
State: optimized geometry

Lattice parameters (Å, degrees): 8.695 8.695 8.695 28.24 28.24 28.24
Element x y z (fractional)
Al  0.746  0.746  0.746
Te  0.230  0.230  0.230
Te  0.028  0.028  0.028
Y  0.495  0.495  0.495

Computed properties:
Final energy, eV/atom: -4.7657
Formation energy (no corrections), eV/atom: -0.643

***

Material: YAlTe3
Method: DFT, PBE-GGA
State: optimized geometry

Lattice parameters (Å, degrees): 4.292 7.169 13.174 105.79 90.00 90.00
Element x y z (fractional)
Te  0.250  0.427  0.843
Te  0.250  0.712  0.447
Te  0.750  0.265  0.553
Te  0.750  0.584  0.157
Te  0.250  0.125  0.232
Te  0.750  0.893  0.768
Y  0.250  0.056  0.655
Y  0.750  0.401  0.345
Al  0.250  0.776  0.257
Al  0.750  0.519  0.743

Computed properties:
Final energy, eV/atom: -4.8456
Formation energy (no corrections), eV/atom: -0.919

***

Material: Y2AlTe
Method: DFT, PBE-GGA
State: optimized geometry

Lattice parameters (Å, degrees): 8.137 8.137 6.672 52.42 52.42 90.00
Last column: magnetic moment on the atom in μB.
Element x y z (fractional)
Y  0.622  0.125  0.250  0.12
Y  0.375  0.378  0.750  0.13
Y  0.128  0.625  0.250  0.12
Y  0.875  0.872  0.750  0.13
Al  0.250  0.750  0.500  0.00
Al  0.500  0.500  0.000  0.00
Te  0.750  0.250  0.500  0.00
Te  0.000  0.000  0.000  0.00

Computed properties:
Final energy, eV/atom: -5.4343
Formation energy (no corrections), eV/atom: -0.481

***

Material: YAlTe
Method: DFT, PBE-GGA
State: optimized geometry

Lattice parameters (Å, degrees): 5.767 5.766 3.817 70.68 70.67 38.66
Element x y z (fractional)
Y  0.665  0.665  0.335
Te  0.334  0.334  0.666
Al  0.001  0.001  0.999

Computed properties:
Final energy, eV/atom: -5.0031
Formation energy (no corrections), eV/atom: -0.554

***

Material: Y2AlTe
Method: DFT, PBE-GGA
State: optimized geometry

Lattice parameters (Å, degrees): 6.206 6.208 6.207 139.32 137.97 59.93
Element x y z (fractional)
Y  0.002  0.001  0.000
Y  0.750  0.250  0.500
Te  0.251  0.751  0.500
Al  0.498  0.498  0.000

Computed properties:
Final energy, eV/atom: -5.5745
Formation energy (no corrections), eV/atom: -0.621

***

Material: Y2AlTe
Method: DFT, PBE-GGA
State: optimized geometry

Lattice parameters (Å, degrees): 6.050 6.050 4.636 86.42 86.42 38.43
Element x y z (fractional)
Y  0.008  0.008  0.135
Y  0.733  0.733  0.619
Al  0.476  0.476  0.637
Te  0.283  0.283  0.110

Computed properties:
Final energy, eV/atom: -5.6930
Formation energy (no corrections), eV/atom: -0.740

***

Material: Y2AlTe
Method: DFT, PBE-GGA
State: optimized geometry

Lattice parameters (Å, degrees): 5.297 5.297 5.297 60.00 60.00 60.00
Element x y z (fractional)
Y  0.250  0.250  0.250
Y  0.750  0.750  0.750
Al  0.000  0.000  0.000
Te  0.500  0.500  0.500

Computed properties:
Final energy, eV/atom: -5.4890
Formation energy (no corrections), eV/atom: -0.536

***

Material: Y3AlTe
Method: DFT, PBE-GGA
State: optimized geometry

Lattice parameters (Å, degrees): 5.462 5.462 5.462 90.00 90.00 90.00
Element x y z (fractional)
Y  0.500  0.000  0.000
Y  0.000  0.500  0.000
Y  0.000  0.000  0.500
Al  0.000  0.000  0.000
Te  0.500  0.500  0.500

Computed properties:
Final energy, eV/atom: -5.3635
Formation energy (no corrections), eV/atom: -0.108

***

Material: YAlTe2
Method: DFT, PBE-GGA
State: optimized geometry

Lattice parameters (Å, degrees): 3.840 3.915 7.429 71.71 90.00 90.00
Element x y z (fractional)
Y  0.500  0.250  0.250
Te  0.000  0.610  0.497
Te  0.000  0.890  0.003
Al  0.500  0.750  0.750

Computed properties:
Final energy, eV/atom: -4.7848
Formation energy (no corrections), eV/atom: -0.662

***

Material: YAlTe2
Method: DFT, PBE-GGA
State: optimized geometry

Lattice parameters (Å, degrees): 5.374 5.374 5.374 60.00 60.00 60.00
Element x y z (fractional)
Te  0.750  0.750  0.750
Te  0.000  0.000  0.000
Y  0.250  0.250  0.250
Al  0.500  0.500  0.500

Computed properties:
Final energy, eV/atom: -4.2735
Formation energy (no corrections), eV/atom: -0.151

***

Material: Y2AlTe
Method: DFT, PBE-GGA
State: optimized geometry

Lattice parameters (Å, degrees): 9.568 9.568 9.568 22.93 22.93 22.93
Last column: magnetic moment on the atom in μB.
Element x y z (fractional)
Te  0.758  0.758  0.758  0.01
Y  0.243  0.243  0.243  0.26
Y  0.009  0.009  0.009  0.23
Al  0.490  0.490  0.490  0.01

Computed properties:
Final energy, eV/atom: -5.1912
Formation energy (no corrections), eV/atom: -0.238

***

Material: Y6AlTe5
Method: DFT, PBE-GGA
State: optimized geometry

Lattice parameters (Å, degrees): 7.555 7.572 7.552 59.91 80.43 70.63
Element x y z (fractional)
Y  0.765  0.077  0.313
Y  0.235  0.923  0.687
Y  0.241  0.230  0.000
Y  0.765  0.390  0.687
Y  0.235  0.610  0.313
Y  0.759  0.770  0.000
Te  0.500  0.500  0.000
Te  0.000  0.335  0.329
Te  0.000  0.665  0.671
Te  0.500  0.175  0.651
Te  0.500  0.825  0.349
Al  0.000  0.000  0.000

Computed properties:
Final energy, eV/atom: -6.0518
Formation energy (no corrections), eV/atom: -1.199

***

Material: YAlTe3
Method: DFT, PBE-GGA
State: optimized geometry

Lattice parameters (Å, degrees): 5.326 5.326 5.326 90.00 90.00 90.00
Element x y z (fractional)
Te  0.000  0.500  0.000
Te  0.000  0.000  0.500
Te  0.500  0.000  0.000
Y  0.500  0.500  0.500
Al  0.000  0.000  0.000

Computed properties:
Final energy, eV/atom: -4.2219
Formation energy (no corrections), eV/atom: -0.296

***

Material: Y7Al2Te2
Method: DFT, PBE-GGA
State: optimized geometry

Lattice parameters (Å, degrees): 4.382 9.164 9.164 63.09 76.17 76.17
Element x y z (fractional)
Y  0.858  0.411  0.872
Y  0.629  0.483  0.260
Y  0.183  0.714  0.920
Y  0.142  0.128  0.589
Y  0.817  0.080  0.286
Y  0.371  0.740  0.517
Y  0.500  0.011  0.989
Al  0.270  0.322  0.139
Al  0.730  0.861  0.678
Te  0.000  0.750  0.250
Te  0.500  0.355  0.645

Computed properties:
Final energy, eV/atom: -6.0270
Formation energy (no corrections), eV/atom: -0.662

***

Material: Y2AlTe
Method: DFT, PBE-GGA
State: optimized geometry

Lattice parameters (Å, degrees): 4.088 4.088 8.140 75.41 75.41 60.07
Element x y z (fractional)
Al  0.750  0.750  0.750
Y  0.002  0.002  0.993
Y  0.498  0.498  0.507
Te  0.250  0.250  0.250

Computed properties:
Final energy, eV/atom: -5.7471
Formation energy (no corrections), eV/atom: -0.794

***

Material: YAlTe2
Method: DFT, PBE-GGA
State: optimized geometry

Lattice parameters (Å, degrees): 7.047 7.047 8.426 65.28 65.28 90.00
Element x y z (fractional)
Al  0.250  0.750  0.500
Al  0.500  0.500  0.000
Te  0.636  0.125  0.250
Te  0.375  0.364  0.750
Te  0.114  0.625  0.250
Te  0.875  0.886  0.750
Y  0.750  0.250  0.500
Y  0.000  0.000  0.000

Computed properties:
Final energy, eV/atom: -4.5958
Formation energy (no corrections), eV/atom: -0.473

***

Material: Y3AlTe2
Method: DFT, PBE-GGA
State: optimized geometry

Lattice parameters (Å, degrees): 4.180 6.137 7.699 113.49 105.75 90.00
Element x y z (fractional)
Y  0.000  0.000  0.000
Y  0.658  0.658  0.316
Y  0.342  0.342  0.684
Al  0.000  0.500  0.000
Te  0.329  0.829  0.658
Te  0.671  0.171  0.342

Computed properties:
Final energy, eV/atom: -5.9115
Formation energy (no corrections), eV/atom: -1.009

***

Material: YAlTe
Method: DFT, PBE-GGA
State: optimized geometry

Lattice parameters (Å, degrees): 3.876 3.876 6.369 90.00 90.00 120.00
Last column: magnetic moment on the atom in μB.
Element x y z (fractional)
Al  0.000  0.000  0.019  0.01
Y  0.333  0.667  0.660  0.13
Te  0.667  0.333  0.321  0.00

Computed properties:
Final energy, eV/atom: -4.7845
Formation energy (no corrections), eV/atom: -0.335

***

Material: YAlTe2
Method: DFT, PBE-GGA
State: optimized geometry

Lattice parameters (Å, degrees): 4.301 4.256 6.243 69.90 90.00 90.00
Element x y z (fractional)
Y  0.000  0.688  0.468
Al  0.500  0.551  0.848
Te  0.000  0.992  0.877
Te  0.500  0.269  0.307

Computed properties:
Final energy, eV/atom: -5.0502
Formation energy (no corrections), eV/atom: -0.928

***

Material: YAlZn2Te
Method: DFT, PBE-GGA
State: optimized geometry

Lattice parameters (Å, degrees): 4.693 5.786 4.693 90.00 90.00 90.00
Element x y z (fractional)
Y  0.500  0.500  0.500
Al  0.000  0.000  0.000
Zn  0.500  0.000  0.000
Zn  0.000  0.000  0.500
Te  0.000  0.500  0.000

Computed properties:
Final energy, eV/atom: -3.1491
Formation energy (no corrections), eV/atom: 0.030